1.
Density functional theory data (PBE-GGA) for an optimized crystal structure of Sn2Ge2Au.

Properties
Energy: -19.9 eV for the cell shown
Spin magnetization: 0.00 μB/f.u.
SG: I4/mmm, No. 139
Energy above the lowest structure with this stoichiometry: 12 meV per atom
Density of states at the Fermi level: 2.0 states/eV per cell

Unit cell a=3.7417 b=3.7417 c=8.6931 alpha=77.57 beta=77.57 gamma=90.00
Last column: nearest neighbours and their distance in Å.
Element x y z (fractional)
Ge 0.2500 0.7500 0.5000  4 Ge 2.65
Ge 0.7500 0.2500 0.5000  4 Ge 2.65
Sn 0.4016 0.4016 0.1967  4 Au 3.11, 4 Ge 3.13, 1 Sn 3.26
Sn 0.5984 0.5984 0.8033  4 Au 3.11, 4 Ge 3.13, 1 Sn 3.26
Au 0.0000 0.0000 0.0000  8 Sn 3.11


2.
Density functional theory data (PBE-GGA) for an optimized crystal structure of NdDy2PuSe4.

Properties
Energy: -56.1 eV for the cell shown
Spin magnetization: 5.95 μB/f.u.
SG: P2/m, No. 10
Density of states at the Fermi level: 9.6 states/eV per cell

Unit cell a=4.1058 b=7.1571 c=7.1823 alpha=109.09 beta=90.00 gamma=90.00
Last column: nearest neighbours and their distance in Å.
Element x y z (fractional)
Se 0.5000 0.7431 0.7392  3 Dy 2.87-2.90, 1 Pu 2.94, 2 Nd 2.97
Se 0.0000 0.2504 0.7418  3 Dy 2.87-2.90, 2 Pu 2.95, 1 Nd 2.97
Se 0.5000 0.2569 0.2608  3 Dy 2.87-2.90, 1 Pu 2.94, 2 Nd 2.97
Se 0.0000 0.7496 0.2582  3 Dy 2.87-2.90, 2 Pu 2.95, 1 Nd 2.97
Nd 0.0000 0.0000 0.0000  6 Se 2.97
Pu 0.5000 0.5000 0.0000  6 Se 2.94-2.95
Dy 0.0000 0.5000 0.5000  6 Se 2.87
Dy 0.5000 0.0000 0.5000  6 Se 2.90


3.
Density functional theory data (PBE-GGA) for an optimized crystal structure of GdHoCoSn.

Properties
Energy: -31.0 eV for the cell shown
Spin magnetization: 7.98 μB/f.u.
SG: F-43m, No. 216
Density of states at the Fermi level: 3.0 states/eV per cell

Unit cell a=5.0941 b=5.0941 c=5.0941 alpha=60.00 beta=60.00 gamma=60.00
Last column: nearest neighbours and their distance in Å.
Element x y z (fractional)
Co 0.7500 0.7500 0.7500  4 Ho 3.12, 4 Gd 3.12
Gd 0.0000 0.0000 0.0000  4 Sn 3.12, 4 Co 3.12
Sn 0.2500 0.2500 0.2500  4 Gd 3.12, 4 Ho 3.12
Ho 0.5000 0.5000 0.5000  4 Sn 3.12, 4 Co 3.12


4.
Density functional theory data (PBE-GGA) for an optimized crystal structure of K4LiTe.

Properties
Energy: -9.2 eV for the cell shown
Spin magnetization: 0.81 μB/f.u.
SG: F-43m, No. 216
Density of states at the Fermi level: 3.5 states/eV per cell

Unit cell a=7.4320 b=7.4320 c=7.4320 alpha=60.00 beta=60.00 gamma=60.00
Last column: nearest neighbours and their distance in Å.
Element x y z (fractional)
Te 0.0000 0.0000 0.0000  12 K 4.35, 4 Li 4.55
K 0.3734 0.3734 0.3734  6 K 3.67-3.76
K 0.8797 0.3734 0.3734  6 K 3.67-3.76
K 0.3734 0.8797 0.3734  6 K 3.67-3.76
K 0.3734 0.3734 0.8797  6 K 3.67-3.76
Li 0.7500 0.7500 0.7500  12 K 4.36, 4 Te 4.55


5.
Density functional theory data (PBE-GGA) for an optimized crystal structure of CuAgCl2.

Properties
Energy: -11.0 eV for the cell shown
Spin magnetization: 0.00 μB/f.u.
SG: Fm-3m, No. 225
Density of states at the Fermi level: 0.1 states/eV per cell

Unit cell a=4.7021 b=4.7021 c=4.7021 alpha=60.00 beta=60.00 gamma=60.00
Last column: nearest neighbours and their distance in Å.
Element x y z (fractional)
Cl 0.2500 0.2500 0.2500  4 Cu 2.88, 4 Ag 2.88
Cl 0.7500 0.7500 0.7500  4 Ag 2.88, 4 Cu 2.88
Ag 0.5000 0.5000 0.5000  8 Cl 2.88
Cu 0.0000 0.0000 0.0000  8 Cl 2.88


6.
Density functional theory data (PBE-GGA) for an optimized crystal structure of TaNi3B3.

Properties
Energy: -102.9 eV for the cell shown
Spin magnetization: 0.00 μB/f.u.
SG: P6_3/m, No. 176
Density of states at the Fermi level: 12.7 states/eV per cell

Unit cell a=3.0507 b=7.2525 c=7.2522 alpha=120.00 beta=90.00 gamma=90.00
Last column: nearest neighbours and their distance in Å.
Element x y z (fractional)
Ta 0.2500 0.6667 0.3333  9 B 2.38-2.43
Ta 0.7500 0.3333 0.6667  9 B 2.38-2.43
Ni 0.2500 0.0818 0.3104  4 B 2.11-2.14
Ni 0.2500 0.2286 0.9182  4 B 2.11-2.14
Ni 0.2500 0.6896 0.7714  4 B 2.11-2.14
Ni 0.7500 0.3104 0.2286  4 B 2.11-2.14
Ni 0.7500 0.9182 0.6896  4 B 2.11-2.14
Ni 0.7500 0.7714 0.0818  4 B 2.11-2.14
B 0.7500 0.5780 0.5385  2 B 1.81
B 0.2500 0.0395 0.5780  2 B 1.81
B 0.7500 0.4615 0.0395  2 B 1.81
B 0.7500 0.9605 0.4220  2 B 1.81
B 0.2500 0.5385 0.9605  2 B 1.81
B 0.2500 0.4220 0.4615  2 B 1.81


7.
Density functional theory data (PBE-GGA) for an optimized crystal structure of RbZrTlF6.

Properties
Energy: -102.6 eV for the cell shown
Spin magnetization: 0.00 μB/f.u.
SG: P-31c, No. 163
Density of states at the Fermi level: 0.0 states/eV per cell

Unit cell a=6.8578 b=6.8578 c=9.1812 alpha=90.00 beta=90.00 gamma=120.00
Last column: nearest neighbours and their distance in Å.
Element x y z (fractional)
Tl 0.0000 0.0000 0.5000  6 F 2.84
Tl 0.0000 0.0000 0.0000  6 F 2.84
Zr 0.6667 0.3333 0.2500  6 F 2.05
Zr 0.3333 0.6667 0.7500  6 F 2.05
F 0.3264 0.9119 0.6267  1 Zr 2.05
F 0.5855 0.6736 0.6267  1 Zr 2.05
F 0.9119 0.5855 0.3733  1 Zr 2.05
F 0.5855 0.9119 0.8733  1 Zr 2.05
F 0.4145 0.0881 0.1267  1 Zr 2.05
F 0.6736 0.0881 0.3733  1 Zr 2.05
F 0.3264 0.4145 0.8733  1 Zr 2.05
F 0.4145 0.3264 0.3733  1 Zr 2.05
F 0.6736 0.5855 0.1267  1 Zr 2.05
F 0.0881 0.6736 0.8733  1 Zr 2.05
F 0.0881 0.4145 0.6267  1 Zr 2.05
F 0.9119 0.3264 0.1267  1 Zr 2.05
Rb 0.3333 0.6667 0.2500  6 F 2.89
Rb 0.6667 0.3333 0.7500  6 F 2.89


8.
Density functional theory data (PBE-GGA) for an optimized crystal structure of GaB2As.

Properties
Energy: -80.1 eV for the cell shown
Spin magnetization: 0.00 μB/f.u.
SG: C2/m, No. 12
Energy above the lowest structure with this stoichiometry: 38 meV per atom
Density of states at the Fermi level: 3.3 states/eV per cell

Unit cell a=5.1933 b=7.0027 c=6.2698 alpha=90.00 beta=92.48 gamma=90.00
Last column: nearest neighbours and their distance in Å.
Element x y z (fractional)
B 0.0613 0.7254 0.3748  2 B 1.70-1.72
B 0.9387 0.7254 0.6252  2 B 1.70-1.72
B 0.0613 0.7746 0.8748  2 B 1.70-1.72
B 0.9387 0.7746 0.1252  2 B 1.70-1.72
B 0.9387 0.2746 0.6252  2 B 1.70-1.72
B 0.0613 0.2746 0.3748  2 B 1.70-1.72
B 0.9387 0.2254 0.1252  2 B 1.70-1.72
B 0.0613 0.2254 0.8748  2 B 1.70-1.72
Ga 0.7416 0.5000 0.1299  2 B 2.18
Ga 0.2584 0.0000 0.3701  2 B 2.18
Ga 0.2584 0.5000 0.8701  2 B 2.18
Ga 0.7416 0.0000 0.6299  2 B 2.18
As 0.6674 0.0000 0.1516  2 B 2.13
As 0.3326 0.5000 0.3484  2 B 2.13
As 0.3326 0.0000 0.8484  2 B 2.13
As 0.6674 0.5000 0.6516  2 B 2.13


9.
Density functional theory data (PBE-GGA) for an optimized crystal structure of YAlCo2.

Properties
Energy: -24.7 eV for the cell shown
Spin magnetization: 0.70 μB/f.u.
SG: Imm2, No. 44
Density of states at the Fermi level: 4.1 states/eV per cell

Unit cell a=5.3157 b=5.3157 c=5.3157 alpha=144.96 beta=133.34 gamma=59.67
Last column: nearest neighbours and their distance in Å.
Element x y z (fractional)
Co 0.9953 0.9953 0.0000  2 Al 2.59, 4 Y 2.64, 2 Co 2.71
Co 0.2322 0.7322 0.5000  4 Al 2.67, 2 Co 2.71, 2 Y 2.93
Al 0.7747 0.2747 0.5000  6 Co 2.59-2.67
Y 0.4978 0.4978 0.0000  6 Co 2.64-2.93, 2 Al 2.94


10.
Density functional theory data (PBE-GGA) for an optimized crystal structure of TbEr5Tm2.

Properties
Energy: -70.5 eV for the cell shown
Spin magnetization: 0.00 μB/f.u.
SG: P-1, No. 2
Energy above the lowest structure with this stoichiometry: 125 meV per atom
Density of states at the Fermi level: 25.4 states/eV per cell

Unit cell a=5.5421 b=8.5270 c=11.2747 alpha=90.02 beta=90.00 gamma=108.97
Last column: nearest neighbours and their distance in Å.
Element x y z (fractional)
Tm 0.7864 0.5729 0.0794  5 Er 3.43-3.67, 2 Tm 3.50, 3 Tb 3.51-3.72
Tm 0.2137 0.4270 0.5793  5 Er 3.43-3.67, 2 Tm 3.50, 3 Tb 3.51-3.72
Tm 0.7863 0.5730 0.4207  5 Er 3.43-3.67, 2 Tm 3.50, 3 Tb 3.51-3.72
Tm 0.2136 0.4271 0.9206  5 Er 3.43-3.67, 2 Tm 3.50, 3 Tb 3.51-3.72
Tb 0.2268 0.4543 0.2501  6 Er 3.32-3.56, 4 Tm 3.51
Tb 0.7732 0.5457 0.7499  6 Er 3.32-3.56, 4 Tm 3.51
Er 0.9546 0.9093 0.8881  2 Er 2.92-3.11
Er 0.9549 0.9100 0.6122  2 Er 2.92-3.11
Er 0.4125 0.8247 0.0791  7 Er 3.34-3.72, 3 Tm 3.43-3.67, 1 Tb 3.56
Er 0.3948 0.7894 0.7500  7 Er 3.32-3.72, 2 Tb 3.40, 2 Tm 3.50
Er 0.5877 0.1755 0.5788  7 Er 3.34-3.72, 3 Tm 3.43-3.67, 1 Tb 3.55
Er 0.5875 0.1753 0.9209  7 Er 3.34-3.72, 3 Tm 3.43-3.67, 1 Tb 3.56
Er 0.6052 0.2106 0.2500  7 Er 3.32-3.72, 2 Tb 3.40, 2 Tm 3.50
Er 0.4123 0.8245 0.4212  7 Er 3.34-3.72, 3 Tm 3.43-3.67, 1 Tb 3.55
Er 0.0451 0.0900 0.3878  2 Er 2.92-3.11
Er 0.0454 0.0907 0.1119  2 Er 2.92-3.11


11.
Density functional theory data (PBE-GGA) for an optimized crystal structure of Rb3LaSb2O9.

Properties
Energy: -85.5 eV for the cell shown
Spin magnetization: 2.06 μB/f.u.
SG: P-3m1, No. 164
Density of states at the Fermi level: 9.1 states/eV per cell

Unit cell a=6.0564 b=6.0564 c=7.5207 alpha=90.00 beta=90.00 gamma=120.00
Last column: nearest neighbours and their distance in Å.
Element x y z (fractional)
O 0.8208 0.6416 0.6944  1 Sb 1.98
O 0.3584 0.1792 0.6944  1 Sb 1.98
O 0.1792 0.8208 0.3056  1 Sb 1.98
O 0.1792 0.3584 0.3056  1 Sb 1.98
O 0.0000 0.5000 0.0000  2 Sb 2.10
O 0.6416 0.8208 0.3056  1 Sb 1.98
O 0.5000 0.0000 0.0000  2 Sb 2.10
O 0.5000 0.5000 0.0000  2 Sb 2.10
O 0.8208 0.1792 0.6944  1 Sb 1.98
Rb 0.0000 0.0000 0.0000  12 O 2.97-3.03
Rb 0.6667 0.3333 0.3340  12 O 3.04-3.16
Rb 0.3333 0.6667 0.6660  12 O 3.04-3.16
Sb 0.3333 0.6667 0.1544  6 O 1.98-2.10
Sb 0.6667 0.3333 0.8456  6 O 1.98-2.10
La 0.0000 0.0000 0.5000  6 O 2.38


12.
Density functional theory data (PBE-GGA) for an optimized crystal structure of Np2Tl3CuSe6.

Properties
Energy: -66.2 eV for the cell shown
Spin magnetization: 6.00 μB/f.u.
SG: C2/m, No. 12
Density of states at the Fermi level: 14.9 states/eV per cell

Unit cell a=7.0682 b=7.0682 c=8.1476 alpha=98.19 beta=98.19 gamma=120.43
Last column: nearest neighbours and their distance in Å.
Element x y z (fractional)
Tl 0.8322 0.1678 0.5000  6 Se 3.30-3.34
Tl 0.5000 0.5000 0.5000  6 Se 3.32-3.38
Tl 0.1678 0.8322 0.5000  6 Se 3.30-3.34
Cu 0.0000 0.0000 0.0000  6 Se 2.75-2.81
Se 0.7401 0.7401 0.1955  1 Cu 2.75, 2 Np 2.83
Se 0.2599 0.2599 0.8045  1 Cu 2.75, 2 Np 2.83
Se 0.9345 0.6031 0.8004  1 Cu 2.81, 2 Np 2.82-2.83
Se 0.0655 0.3969 0.1996  1 Cu 2.81, 2 Np 2.82-2.83
Se 0.6031 0.9345 0.8004  1 Cu 2.81, 2 Np 2.82-2.83
Se 0.3969 0.0655 0.1996  1 Cu 2.81, 2 Np 2.82-2.83
Np 0.6662 0.3338 0.0000  6 Se 2.82-2.83
Np 0.3338 0.6662 0.0000  6 Se 2.82-2.83


13.
Density functional theory data (PBE-GGA) for an optimized crystal structure of La4Pm3Dy4.

Properties
Energy: -50.7 eV for the cell shown
Spin magnetization: 0.00 μB/f.u.
SG: Immm, No. 71
Energy above the lowest structure with this stoichiometry: 29 meV per atom
Density of states at the Fermi level: 17.5 states/eV per cell

Unit cell a=3.6449 b=9.4535 c=12.3597 alpha=112.48 beta=98.48 gamma=90.00
Last column: nearest neighbours and their distance in Å.
Element x y z (fractional)
Pm 0.8853 0.8853 0.7705  6 La 3.44-3.59, 4 Dy 3.63, 2 Pm 3.64
Pm 0.1147 0.1147 0.2295  6 La 3.44-3.59, 4 Dy 3.63, 2 Pm 3.64
Pm 0.0000 0.5000 0.0000  4 La 3.53, 2 Pm 3.64
La 0.2558 0.7558 0.5116  2 Pm 3.44, 4 Dy 3.60, 2 La 3.64
La 0.5000 0.8197 0.0000  3 La 3.41-3.64, 2 Dy 3.42, 6 Pm 3.53-3.59
La 0.5000 0.1803 0.0000  3 La 3.41-3.64, 2 Dy 3.42, 6 Pm 3.53-3.59
La 0.7442 0.2442 0.4884  2 Pm 3.44, 4 Dy 3.60, 2 La 3.64
Dy 0.3613 0.1879 0.7226  3 Dy 3.28-3.64, 3 La 3.42-3.60, 2 Pm 3.63
Dy 0.6387 0.4653 0.2774  3 Dy 3.28-3.64, 3 La 3.42-3.60, 2 Pm 3.63
Dy 0.3613 0.5347 0.7226  3 Dy 3.28-3.64, 3 La 3.42-3.60, 2 Pm 3.63
Dy 0.6387 0.8121 0.2774  3 Dy 3.28-3.64, 3 La 3.42-3.60, 2 Pm 3.63


14.
Density functional theory data (PBE-GGA) for an optimized crystal structure of Mo2P2C.

Properties
Energy: -37.8 eV for the cell shown
Spin magnetization: 0.00 μB/f.u.
SG: I4/mmm, No. 139
Energy above the lowest structure with this stoichiometry: 454 meV per atom
Density of states at the Fermi level: 3.7 states/eV per cell

Unit cell a=4.5293 b=4.5293 c=4.7375 alpha=61.44 beta=61.44 gamma=90.00
Last column: nearest neighbours and their distance in Å.
Element x y z (fractional)
Mo 0.2500 0.7500 0.5000  4 P 2.37
Mo 0.7500 0.2500 0.5000  4 P 2.37
P 0.3520 0.3520 0.2960  1 P 2.07
P 0.6480 0.6480 0.7040  1 P 2.07
C 0.0000 0.0000 0.0000  2 P 2.46